[1]
Below is a relaxed Hf2InSe crystal, with properties calculated at the PBE-GGA level.

Its density of states at the Fermi level is 2.911 states/eV/f.u. The total moment is 0.0 μB/f.u. The value obtained for the formation energy without anion corrections is -169 kJ/mol of formula units. Its volume is 21.303 A^3/atom. Its energy above the most stable polymorph in this dataset is 52 meV/atom.

The space group is R-3m (No. 166, hexagonal axes) and the conventional cell measures 3.3527, 3.3527 and 26.2598 Å, with angles of 90.00, 90.00 and 120.00 degrees. The inequivalent atoms are Hf at (0.0000, 0.0000, 0.2401), In at (0.0000, 0.0000, 0.0000) and Se at (0.0000, 0.0000, 0.5000).

=====

[2]
Below is a relaxed HfInSe4 crystal, with properties calculated at the PBE-GGA level.

Its density of states at the Fermi level is 3.896 states/eV/f.u. The total moment is 0.0 μB/f.u. The value obtained for the formation energy without anion corrections is -433 kJ/mol of formula units. Its volume is 26.917 A^3/atom.

The space group is C2/m (No. 12) and the conventional cell measures 14.0874, 3.7960 and 6.7895 Å, with angles of 90.00, 117.17 and 90.00 degrees. The inequivalent atoms are Hf at (0.0000, 0.0000, 0.0000), In at (0.0000, 0.5000, 0.5000), Se at (0.1250, 0.0000, 0.4450) and Se at (0.1286, 0.5000, 0.9806).

=====

[3]
Below is a relaxed Hf2InSe crystal, with properties calculated at the PBE-GGA level.

Its density of states at the Fermi level is 3.609 states/eV/f.u. The total moment is 0.0 μB/f.u. The value obtained for the formation energy without anion corrections is -189 kJ/mol of formula units. Its volume is 21.379 A^3/atom. Its energy above the most stable polymorph in this dataset is 0 meV/atom.

The space group is R3m (No. 160, hexagonal axes) and the conventional cell measures 3.4021, 3.4021 and 25.5937 Å, with angles of 90.00, 90.00 and 120.00 degrees. The inequivalent atoms are Hf at (0.0000, 0.0000, 0.0000), Hf at (0.0000, 0.0000, 0.1858), In at (0.0000, 0.0000, 0.7597) and Se at (0.0000, 0.0000, 0.5929).

=====

[4]
Below is a relaxed Sm3HfIn3Se8 crystal, with properties calculated at the PBE-GGA level.

Its density of states at the Fermi level is 0.158 states/eV/f.u. The total moment is 0.0 μB/f.u. The value obtained for the formation energy without anion corrections is -1886 kJ/mol of formula units. Its volume is 30.716 A^3/atom.

The space group is R-3m (No. 166, hexagonal axes) and the conventional cell measures 8.2815, 8.2815 and 23.2717 Å, with angles of 90.00, 90.00 and 120.00 degrees. The inequivalent atoms are Sm at (0.0000, 0.5000, 0.0000), Hf at (0.0000, 0.0000, 0.0000), In at (0.0000, 0.5000, 0.5000), Se at (0.0000, 0.0000, 0.2616) and Se at (0.0237, 0.5119, 0.7346).